[1]
DFT (SCAN) results for a PBEsol-optimized structure of BaBe.

The space group is P6_3mc (No. 186) and the conventional cell measures 4.2174, 4.2174 and 10.1856 Å, with angles of 90.00, 90.00 and 120.00 degrees. The inequivalent atoms are Ba at (0.3333, 0.6667, 0.0000) and Be at (0.3333, 0.6667, 0.6874).

Its volume is 39.22 Å³ per atom. For the density of states at the Fermi level, the calculation gives 0.30 states/eV/f.u. The value obtained for the formation enthalpy at 0 K is 1.10 eV/atom. The distance to the lowest polymorph of the same formula comes out at 776 meV per atom.

***

[2]
DFT (SCAN) results for a PBEsol-optimized structure of BaBeBi2.

The space group is I-42d (No. 122) and the conventional cell measures 6.058, 6.058 and 15.686 Å, with angles of 90.00, 90.00 and 90.00 degrees. The inequivalent atoms are Ba at (0.000, 0.000, 0.000), Be at (0.000, 0.000, 0.500) and Bi at (0.071, 0.250, 0.625).

Its volume is 35.98 Å³ per atom. The value obtained for the formation enthalpy at 0 K is -0.20 eV/atom.

***

[3]
DFT (SCAN) results for a PBEsol-optimized structure of BaBe2BiPd.

The space group is P4/mmm (No. 123) and the conventional cell measures 4.638, 4.638 and 6.714 Å, with angles of 90.00, 90.00 and 90.00 degrees. The inequivalent atoms are Ba at (0.000, 0.000, 0.000), Be at (0.000, 0.500, 0.500), Bi at (0.000, 0.000, 0.500) and Pd at (0.500, 0.500, 0.000).

Its volume is 28.89 Å³ per atom. For the density of states at the Fermi level, the calculation gives 2.31 states/eV/f.u. The value obtained for the formation enthalpy at 0 K is 0.86 eV/atom.

***

> Which value of formation enthalpy at 0 K does entry 3 give?

0.86 eV/atom